<one>
DFT (PBE) results for a relaxed K2RbCeCl6 crystal.

Calculated values
Space-group type: No. 225
Total moment (μB per formula unit): 1.00

a b c (Å): 8.276 8.276 8.276
angles (deg): 60.00 60.00 60.00
Site moments in Bohr magnetons follow the coordinates.
Element x y z (fractional)
Cl: 0.766 0.766 0.234  0.00
K: 0.750 0.750 0.750  0.00
Cl: 0.766 0.234 0.234  0.00
Cl: 0.234 0.766 0.766  0.00
Cl: 0.766 0.234 0.766  0.00
Cl: 0.234 0.766 0.234  0.00
K: 0.250 0.250 0.250  0.00
Cl: 0.234 0.234 0.766  0.00
Rb: 0.500 0.500 0.500  0.00
Ce: 0.000 0.000 0.000  0.98

***

<two>
DFT (PBE) results for a relaxed K2RbCeCl6 crystal.

Calculated values
Space-group type: No. 14
Total moment (μB per formula unit): 1.00

a b c (Å): 7.693 8.196 11.166
angles (deg): 90.00 89.21 90.00
Site moments in Bohr magnetons follow the coordinates.
Element x y z (fractional)
Cl: 0.357 0.927 0.724  0.00
Cl: 0.288 0.676 0.065  0.00
Cl: 0.212 0.176 0.435  0.00
Cl: 0.143 0.427 0.776  0.00
Rb: 0.000 0.500 0.500  0.00
Rb: 0.500 0.000 0.000  0.00
K: 0.971 0.072 0.743  0.00
Cl: 0.336 0.723 0.413  0.00
Cl: 0.164 0.223 0.087  0.00
K: 0.529 0.572 0.757  0.00
Ce: 0.000 0.500 0.000  0.98
Cl: 0.857 0.573 0.224  0.00
Cl: 0.712 0.324 0.935  0.00
Cl: 0.664 0.277 0.587  0.00
Cl: 0.643 0.073 0.276  0.00
K: 0.471 0.428 0.243  0.00
Cl: 0.836 0.777 0.913  0.00
Cl: 0.788 0.824 0.565  0.00
K: 0.029 0.928 0.257  0.00
Ce: 0.500 0.000 0.500  0.98

***

Result of the stability comparison: <two> is the most stable of them.

***

<one>
DFT (PBE) results for a relaxed LaCeCl6 crystal.

Calculated values
Space-group type: No. 12
Total moment (μB per formula unit): 1.00

a b c (Å): 6.949 6.984 9.543
angles (deg): 72.46 52.71 60.17
Site moments in Bohr magnetons follow the coordinates.
Element x y z (fractional)
Cl: 0.979 0.292 0.727  -0.01
La: 0.000 0.000 0.000  0.01
Cl: 0.021 0.708 0.273  -0.01
Cl: 0.729 0.292 0.273  -0.01
Ce: 0.500 0.000 0.500  0.96
Cl: 0.490 0.000 0.213  -0.01
Cl: 0.271 0.708 0.727  -0.01
Cl: 0.510 0.000 0.787  -0.01

***

<two>
DFT (PBE) results for a relaxed LaCeCl6 crystal.

Calculated values
Space-group type: No. 148
Total moment (μB per formula unit): 1.00

a b c (Å): 7.012 7.012 7.633
angles (deg): 62.64 62.63 59.98
Site moments in Bohr magnetons follow the coordinates.
Element x y z (fractional)
Cl: 0.248 0.899 0.249  0.00
Cl: 0.396 0.752 0.751  0.00
Cl: 0.752 0.101 0.751  0.00
Ce: 0.000 0.000 0.000  0.98
Cl: 0.899 0.604 0.249  0.00
Cl: 0.101 0.396 0.751  0.00
Cl: 0.604 0.248 0.249  0.00
La: 0.500 0.500 0.500  0.00

***

Result of the stability comparison: <two> is the most stable of them.

***

<one>
DFT (PBE) results for a relaxed Li3CeCl8 crystal.

Calculated values
Space-group type: No. 12
Total moment (μB per formula unit): 1.09

a b c (Å): 7.735 7.735 7.587
angles (deg): 121.30 90.00 120.00
Site moments in Bohr magnetons follow the coordinates.
Element x y z (fractional)
Cl: 0.748 0.993 0.235  0.05
Cl: 0.246 0.491 0.235  0.05
Cl: 0.754 0.509 0.765  0.05
Cl: 0.252 0.007 0.765  0.05
Cl: 0.728 0.457 0.183  0.27
Li: 0.000 0.500 0.000  0.00
Cl: 0.272 0.543 0.817  0.27
Li: 0.500 0.000 0.000  0.00
Cl: 0.755 0.007 0.765  0.05
Cl: 0.245 0.993 0.235  0.05
Ce: 0.000 0.000 0.000  -0.01
Li: 0.500 0.500 0.000  0.00

***

<two>
DFT (PBE) results for a relaxed Li3CeCl8 crystal.

Calculated values
Space-group type: No. 164
Total moment (μB per formula unit): 1.02

a b c (Å): 7.525 7.525 6.798
angles (deg): 90.00 90.00 120.00
Site moments in Bohr magnetons follow the coordinates.
Element x y z (fractional)
Li: 0.667 0.333 0.132  0.00
Cl: 0.154 0.309 0.752  0.02
Cl: 0.845 0.154 0.248  0.02
Li: 0.333 0.667 0.868  0.00
Li: 0.000 0.000 0.000  0.00
Cl: 0.309 0.155 0.248  0.02
Cl: 0.333 0.667 0.205  0.33
Cl: 0.691 0.845 0.752  0.02
Cl: 0.846 0.691 0.248  0.02
Cl: 0.155 0.846 0.752  0.02
Ce: 0.000 0.000 0.500  -0.02
Cl: 0.667 0.333 0.795  0.33

***

Result of the stability comparison: <one> is the most stable of them.

***

<one>
DFT (PBE) results for a relaxed Li2CeCl6 crystal.

Calculated values
Space-group type: No. 12
Total moment (μB per formula unit): 0.00

a b c (Å): 4.875 7.253 7.363
angles (deg): 73.38 70.67 70.36
Element x y z (fractional)
Cl: 0.979 0.823 0.220
Cl: 0.631 0.292 0.445
Li: 0.196 0.689 0.919
Cl: 0.746 0.651 0.857
Li: 0.804 0.311 0.081
Cl: 0.369 0.708 0.555
Ce: 0.000 0.500 0.500
Cl: 0.021 0.177 0.780
Cl: 0.254 0.349 0.143

***

<two>
DFT (PBE) results for a relaxed Li2CeCl6 crystal.

Calculated values
Space-group type: No. 136
Total moment (μB per formula unit): 0.00

a b c (Å): 6.243 6.243 11.605
angles (deg): 90.00 90.00 90.00
Element x y z (fractional)
Cl: 0.699 0.699 0.831
Ce: 0.000 0.000 0.500
Cl: 0.698 0.698 0.500
Cl: 0.801 0.199 0.331
Cl: 0.699 0.699 0.169
Cl: 0.802 0.198 0.000
Cl: 0.199 0.801 0.331
Cl: 0.301 0.301 0.831
Li: 0.500 0.500 0.335
Li: 0.000 0.000 0.165
Cl: 0.301 0.301 0.169
Cl: 0.199 0.801 0.669
Cl: 0.302 0.302 0.500
Cl: 0.801 0.199 0.669
Li: 0.000 0.000 0.835
Ce: 0.500 0.500 0.000
Cl: 0.198 0.802 0.000
Li: 0.500 0.500 0.665

***

Result of the stability comparison: <two> is the most stable of them.